1.
This record from Alexandria describes a relaxed Ac2ZrSe5 crystal. The functional is PBE.

The structure in POSCAR format:
```
Ac2ZrSe5
1.0
12.2560 0.0000 0.0000
0.0000 8.8490 0.0000
0.0000 0.0000 7.9279
Ac Zr Se
8 4 20
direct
0.1704 0.0013 0.0676 Ac
0.1704 0.4987 0.0676 Ac
0.3296 0.5013 0.5676 Ac
0.3296 0.9987 0.5676 Ac
0.6704 0.0013 0.4324 Ac
0.6704 0.4987 0.4324 Ac
0.8296 0.5013 0.9324 Ac
0.8296 0.9987 0.9324 Ac
0.0104 0.2500 0.5744 Zr
0.4896 0.7500 0.0744 Zr
0.5104 0.2500 0.9256 Zr
0.9896 0.7500 0.4256 Zr
0.0066 0.2500 0.9373 Se
0.0674 0.5346 0.6791 Se
0.0674 0.9654 0.6791 Se
0.1927 0.2500 0.3673 Se
0.2066 0.7500 0.3504 Se
0.2934 0.2500 0.8504 Se
0.3073 0.7500 0.8673 Se
0.4326 0.0346 0.1791 Se
0.4326 0.4654 0.1791 Se
0.4934 0.7500 0.4373 Se
0.5066 0.2500 0.5627 Se
0.5674 0.5346 0.8209 Se
0.5674 0.9654 0.8209 Se
0.6927 0.2500 0.1327 Se
0.7066 0.7500 0.1496 Se
0.7934 0.2500 0.6496 Se
0.8073 0.7500 0.6327 Se
0.9326 0.0346 0.3209 Se
0.9326 0.4654 0.3209 Se
0.9934 0.7500 0.0627 Se
```

Properties
Final energy in Ry per atom: -0.44632
Excess energy over the best structure of this formula in the dataset in eV per formula unit: 0.00
ΔE_f (raw) in eV/atom: -1.799


2.
This record from Alexandria describes a relaxed AcZrSe crystal. The functional is PBE.

The structure in POSCAR format:
```
AcZrSe
1.0
4.2175 0.0000 0.0000
0.0000 4.2175 0.0000
0.0000 0.0000 9.5861
Ac Zr Se
2 2 2
direct
0.2500 0.2500 0.1627 Ac
0.7500 0.7500 0.8373 Ac
0.2500 0.7500 0.5000 Zr
0.7500 0.2500 0.5000 Zr
0.2500 0.2500 0.7002 Se
0.7500 0.7500 0.2998 Se
```

Properties
Final energy in Ry per atom: -0.46446
DOS(E_F) in states/eV/atom: 0.89
ΔE_f (raw) in eV/atom: -0.939


3.
This record from Alexandria describes a relaxed Ac4ZrSe8 crystal. The functional is PBE.

The structure in POSCAR format:
```
Ac4ZrSe8
1.0
-5.0908 5.0908 4.0223
5.0908 -5.0908 4.0223
5.0908 5.0908 -4.0223
Ac Zr Se
4 1 8
direct
0.0000 0.0000 0.5000 Ac
0.0000 0.5000 0.0000 Ac
0.5000 0.0000 0.0000 Ac
0.5000 0.5000 0.5000 Ac
0.0000 0.0000 0.0000 Zr
0.0000 0.2584 0.2584 Se
0.0000 0.7416 0.7416 Se
0.2558 0.5000 0.7558 Se
0.2584 0.0000 0.2584 Se
0.5000 0.2558 0.7558 Se
0.5000 0.7442 0.2442 Se
0.7416 0.0000 0.7416 Se
0.7442 0.5000 0.2442 Se
```

Properties
Final energy in Ry per atom: -0.40884
DOS(E_F) in states/eV/atom: 0.44
ΔE_f (raw) in eV/atom: -1.496